The following is a PBE+U calculation of a relaxed structure of V2H10Se2O13, from Alexandria via LeMat-Bulk.

Output
**Final energy**: -5.63 eV/atom
**DOS(E_F)**: 0.0 states/eV/cell
**Spin magnetization**: 2.0 μB/f.u.
**ρ**: 2.77 Mg/m³

Cell lengths 18.684, 6.369, 10.666 Å; angles 90.00, 115.41, 90.00 degrees
Space group C2/c (No. 15)
Unique sites:
V: 0.136 0.199 0.101
H: 0.017 0.343 0.877
H: 0.029 0.194 0.557
H: 0.044 0.391 0.258
H: 0.135 0.015 0.853
H: 0.189 0.220 0.877
Se: 0.201 0.289 0.614
O: 0.000 0.485 0.250
O: 0.023 0.224 0.943
O: 0.116 0.228 0.238
O: 0.123 0.120 0.592
O: 0.145 0.492 0.047
O: 0.164 0.124 0.922
O: 0.244 0.335 0.794